VASP calculation (GGA-PBE) on a geometry-optimized LiCeAl2 structure.

Computed properties:
space group	P4/mmm
ΔH_f (0 K)	-0.90	eV/f.u.
DOS at the Fermi energy	1.016	states/eV per atom

a b c (Å): 3.214 3.214 7.447
angles (deg): 90.00 90.00 90.00
Sites, in units of the cell vectors:
Li1 0.000 0.000 0.000
Ce1 0.000 0.000 0.500
Al1 0.500 0.500 0.197
Al2 0.500 0.500 0.803